A plane-wave DFT calculation with PBE-GGA was carried out for a geometry-optimized La2Sn8Hg structure.

Output
Its total energy is -4.18 eV per atom.

```
data_La2Sn8Hg
_space_group_name_H-M_alt 'P 1'
_space_group_IT_number 1
_cell_length_a 4.627
_cell_length_b 4.627
_cell_length_c 15.010
_cell_angle_alpha 90.00
_cell_angle_beta 90.00
_cell_angle_gamma 90.00
loop_
_space_group_symop_operation_xyz
'x,y,z'
loop_
_atom_site_label
_atom_site_type_symbol
_atom_site_fract_x
_atom_site_fract_y
_atom_site_fract_z
La1 La 0.000 0.000 0.340
La2 La 0.000 0.000 0.660
Sn1 Sn 0.000 0.500 0.500
Sn2 Sn 0.500 0.000 0.500
Sn3 Sn 0.500 0.500 0.315
Sn4 Sn 0.500 0.500 0.685
Sn5 Sn 0.000 0.500 0.154
Sn6 Sn 0.500 0.000 0.154
Sn7 Sn 0.000 0.500 0.846
Sn8 Sn 0.500 0.000 0.846
Hg1 Hg 0.000 0.000 0.000
```

***

A plane-wave DFT calculation with PBE-GGA was carried out for a geometry-optimized ScVFe2 structure.

Output
Its total energy is -8.24 eV per atom.

```
data_ScVFe2
_space_group_name_H-M_alt 'P 1'
_space_group_IT_number 1
_cell_length_a 2.939
_cell_length_b 2.939
_cell_length_c 6.154
_cell_angle_alpha 90.00
_cell_angle_beta 90.00
_cell_angle_gamma 90.00
loop_
_space_group_symop_operation_xyz
'x,y,z'
loop_
_atom_site_label
_atom_site_type_symbol
_atom_site_fract_x
_atom_site_fract_y
_atom_site_fract_z
Sc1 Sc 0.500 0.500 0.500
Fe1 Fe 0.000 0.000 0.781
Fe2 Fe 0.000 0.000 0.219
V1 V 0.500 0.500 0.000
```